Entry 1:
Rb5In4Sb4 after structural relaxation. Source: Alexandria, functional GGA-PBE.

Results
The total energy is -71.53 eV per cell. The magnetic moment comes out at 0.0 μB/f.u. As for the mass density: 4.519 Mg/m³. The density of states at the Fermi level comes out at 8.1 states/eV per cell. The calculation puts the formation energy (no corrections) at -6.18 kcal/mol of atoms.

Geometry as CIF:
```
data_Rb5In4Sb4
_space_group_name_H-M_alt 'I 4/m'
_space_group_IT_number 87
_space_group_name_Hall '-I 4'
_cell_length_a 14.253
_cell_length_b 14.253
_cell_length_c 4.969
_cell_angle_alpha 90.00
_cell_angle_beta 90.00
_cell_angle_gamma 90.00
loop_
_atom_site_label
_atom_site_type_symbol
_atom_site_fract_x
_atom_site_fract_y
_atom_site_fract_z
_atom_site_occupancy
Rb1 Rb 0.000 0.000 0.000 1
Rb2 Rb 0.142 0.208 0.500 1
In1 In 0.063 0.594 0.500 1
Sb1 Sb 0.044 0.727 0.000 1
```

Entry 2:
Rb3InSb3 after structural relaxation. Source: Alexandria, functional GGA-PBE.

Results
The total energy is -81.92 eV per cell. The magnetic moment comes out at 0.0 μB/f.u. As for the mass density: 4.288 Mg/m³. The density of states at the Fermi level comes out at 8.0 states/eV per cell. The calculation puts the formation energy (no corrections) at -8.15 kcal/mol of atoms.

Geometry as CIF:
```
data_Rb3InSb3
_space_group_name_H-M_alt 'C 1 2/m 1'
_space_group_IT_number 12
_cell_length_a 13.798
_cell_length_b 5.455
_cell_length_c 16.219
_cell_angle_alpha 90.00
_cell_angle_beta 110.86
_cell_angle_gamma 90.00
loop_
_space_group_symop_operation_xyz
'x,y,z'
'-x,-y,-z'
'-x,y,-z'
'x,-y,z'
'x+1/2,y+1/2,z'
'-x+1/2,-y+1/2,-z'
'-x+1/2,y+1/2,-z'
'x+1/2,-y+1/2,z'
loop_
_atom_site_label
_atom_site_type_symbol
_atom_site_fract_x
_atom_site_fract_y
_atom_site_fract_z
_atom_site_occupancy
Rb1 Rb 0.016 0.000 0.381 1
Rb2 Rb 0.102 0.000 0.918 1
Rb3 Rb 0.234 0.000 0.218 1
In1 In 0.230 0.500 0.404 1
Sb1 Sb 0.040 0.500 0.228 1
Sb2 Sb 0.098 0.500 0.073 1
Sb3 Sb 0.154 0.500 0.553 1
```

Entry 3:
Rb2InSb2 after structural relaxation. Source: Alexandria, functional GGA-PBE.

Results
The total energy is -57.77 eV per cell. The magnetic moment comes out at 0.0 μB/f.u. As for the mass density: 3.478 Mg/m³. The calculation puts the formation energy (no corrections) at -7.03 kcal/mol of atoms.

Geometry as CIF:
```
data_Rb2InSb2
_space_group_name_H-M_alt 'C 1 2/m 1'
_space_group_IT_number 12
_cell_length_a 15.468
_cell_length_b 7.239
_cell_length_c 10.756
_cell_angle_alpha 90.00
_cell_angle_beta 122.94
_cell_angle_gamma 90.00
loop_
_space_group_symop_operation_xyz
'x,y,z'
'-x,-y,-z'
'-x,y,-z'
'x,-y,z'
'x+1/2,y+1/2,z'
'-x+1/2,-y+1/2,-z'
'-x+1/2,y+1/2,-z'
'x+1/2,-y+1/2,z'
loop_
_atom_site_label
_atom_site_type_symbol
_atom_site_fract_x
_atom_site_fract_y
_atom_site_fract_z
_atom_site_occupancy
Rb1 Rb 0.149 0.000 0.476 1
Rb2 Rb 0.240 0.000 0.132 1
In1 In 0.009 0.500 0.167 1
Sb1 Sb 0.079 0.500 0.467 1
Sb2 Sb 0.173 0.500 0.120 1
```

Entry 4:
RbIn2Sb after structural relaxation. Source: Alexandria, functional GGA-PBE.

Results
The total energy is -33.25 eV per cell. The magnetic moment comes out at 0.0 μB/f.u. As for the mass density: 4.578 Mg/m³. The density of states at the Fermi level comes out at 2.1 states/eV per cell. The calculation puts the formation energy (no corrections) at -2.97 kcal/mol of atoms.

Geometry as CIF:
```
data_RbIn2Sb
_space_group_name_H-M_alt 'R 3 m'
_space_group_IT_number 160
_space_group_name_Hall 'R 3 -2"'
_cell_length_a 4.7046
_cell_length_b 4.7046
_cell_length_c 24.8019
_cell_angle_alpha 90.00
_cell_angle_beta 90.00
_cell_angle_gamma 120.00
loop_
_atom_site_label
_atom_site_type_symbol
_atom_site_fract_x
_atom_site_fract_y
_atom_site_fract_z
_atom_site_occupancy
Rb1 Rb 0.0000 0.0000 0.0000 1
In1 In 0.0000 0.0000 0.2243 1
In2 In 0.0000 0.0000 0.4387 1
Sb1 Sb 0.0000 0.0000 0.8309 1
```